# Re2PtCl

Re2PtCl after structural relaxation (PBE, Alexandria via LeMat-Bulk).

abc: 2.8272 4.0976 5.5951
angles: 90.00 102.27 90.00
Last column: nearest neighbours and their distance in Å.
Space group Pm (No. 6)
One atom of each set of equivalent atoms:
Re  0.0000  0.0000  0.0000 (multiplicity 1)  2 Cl 2.44, 1 Pt 2.62, 2 Re 2.68
Re  0.3744  0.5000  0.7925 (multiplicity 1)  1 Cl 2.37
Pt  0.7828  0.0000  0.5202 (multiplicity 1)  5 Re 2.62-2.93, 2 Cl 2.82, 2 Pt 2.83
Cl  0.3216  0.5000  0.2090 (multiplicity 1)  3 Re 2.37-2.44

## Properties
E above lowest polymorph	1.45	eV/f.u.
ρ	15.8	Mg/m³
spin magnetization	0.000	μB per cell